Compound: CdNi2Ag2
Source: the Alexandria database
Functional: PBE
Structure: optimized geometry

Geometry as POSCAR:
```
CdNi2Ag2
1.0
6.626 0.000 0.000
0.000 6.626 0.000
0.000 0.000 3.708
Ag Cd Ni
4 2 4
Cartesian
5.511 2.198 1.854
2.198 1.115 1.854
1.115 4.428 1.854
4.428 5.511 1.854
0.000 0.000 0.000
3.313 3.313 0.000
2.485 5.798 0.000
5.798 4.140 0.000
4.140 0.827 0.000
0.827 2.485 0.000
```

As for the energy above the most stable polymorph in this dataset: 0.000 eV per atom. For the density of states at the Fermi level, the calculation gives 3.2 states/eV/cell. The formation energy comes out at 0.23 eV/atom. The value obtained for the total moment is 0.00 μB per cell.

Compound: Ho2ZnPd
Source: the Alexandria database
Functional: PBE
Structure: optimized geometry

Geometry as POSCAR:
```
Ho2ZnPd
1.0
-0.789 3.399 -0.585
-2.516 -0.977 -2.287
-4.642 -0.185 5.186
Zn Ho Pd
1 2 1
Cartesian
-3.973 1.118 1.157
-1.141 -0.045 1.274
-3.501 -0.140 3.912
-1.652 1.211 -1.436
```

As for the energy above the most stable polymorph in this dataset: 0.000 eV per atom. For the density of states at the Fermi level, the calculation gives 2.9 states/eV/cell. The formation energy comes out at -0.64 eV/atom. The value obtained for the total moment is 0.00 μB per cell.

Compound: Al2AgPb
Source: the Alexandria database
Functional: PBE
Structure: optimized geometry

Geometry as POSCAR:
```
Al2AgPb
1.0
9.238 -0.078 -0.046
8.668 3.195 -0.046
8.668 1.509 2.817
Al Ag Pb
2 1 1
Cartesian
0.291 0.051 0.030
12.996 2.263 1.333
19.931 3.470 2.044
6.644 1.157 0.681
```

For the density of states at the Fermi level, the calculation gives 1.7 states/eV/cell. The formation energy comes out at 0.20 eV/atom. The value obtained for the total moment is 0.00 μB per cell.

Compound: BaAs2Cl
Source: the Alexandria database
Functional: PBE
Structure: optimized geometry

Geometry as POSCAR:
```
BaAs2Cl
1.0
4.246 0.000 0.000
0.000 4.246 0.000
2.123 2.123 13.390
As Ba Cl
4 2 2
Cartesian
2.853 3.184 3.347
3.184 4.976 10.042
5.307 3.515 10.042
1.392 1.061 3.347
4.246 2.123 6.695
0.000 0.000 0.000
2.123 2.123 0.000
2.123 4.246 6.695
```

As for the raw formation energy: -0.9015 eV/atom. As for the energy above the most stable polymorph in this dataset: 0.161 eV per atom. For the density of states at the Fermi level, the calculation gives 3.7 states/eV/cell. The value obtained for the total moment is 0.00 μB per cell.

Compound: Dy2C
Source: the Alexandria database
Functional: PBE
Structure: optimized geometry

Geometry as POSCAR:
```
Dy2C
1.0
-1.965 0.595 2.878
2.324 -2.663 -0.034
4.217 4.842 0.792
Dy C
2 1
Cartesian
2.327 3.739 2.425
0.129 0.646 2.650
1.965 -2.391 0.210
```

For the density of states at the Fermi level, the calculation gives 2.0 states/eV/cell. The formation energy comes out at 0.04 eV/atom. The value obtained for the total moment is 0.00 μB per cell.

Compound: Y2Hg2Au
Source: the Alexandria database
Functional: PBE
Structure: optimized geometry

Geometry as POSCAR:
```
Y2Hg2Au
1.0
7.834 0.000 0.000
0.000 7.834 0.000
0.000 0.000 4.046
Hg Au Y
4 2 4
Cartesian
6.788 4.963 0.000
2.871 6.788 0.000
1.046 2.871 0.000
4.963 1.046 0.000
3.917 3.917 0.000
0.000 0.000 0.000
1.328 5.245 2.023
6.506 2.589 2.023
5.245 6.506 2.023
2.589 1.328 2.023
```

As for the energy above the most stable polymorph in this dataset: 0.036 eV per atom. For the density of states at the Fermi level, the calculation gives 7.5 states/eV/cell. The formation energy comes out at -0.46 eV/atom. The value obtained for the total moment is 0.00 μB per cell.

Summary of calculated volume in A^3/atom
16.3; 21.8; 21.6; 30.2; 22.5; 24.8
(order as listed above)